(i)
Ce3Ge2Ir2: relaxed, GGA-PBE.

Lattice parameters (Å, degrees): 4.407 4.033 9.542 102.20 103.35 90.00
Site moments in Bohr magnetons follow the coordinates.
Element x y z (fractional)
Ce 0.000 0.000 0.000  0.44
Ce 0.680 0.180 0.361  0.40
Ce 0.320 0.820 0.639  0.40
Ge 0.143 0.643 0.285  -0.01
Ge 0.857 0.357 0.715  -0.01
Ir 0.572 0.572 0.144  -0.03
Ir 0.428 0.428 0.856  -0.03

## Properties
- Symmetry: No. 71

=====

(ii)
Ce3Ge2Ir2: relaxed, GGA-PBE.

Lattice parameters (Å, degrees): 5.619 8.058 13.348 90.00 90.00 90.00
Site moments in Bohr magnetons follow the coordinates.
Element x y z (fractional)
Ce 0.152 0.605 0.098  0.50
Ce 0.848 0.395 0.598  0.50
Ce 0.848 0.105 0.402  0.50
Ce 0.152 0.895 0.902  0.50
Ce 0.848 0.395 0.902  0.50
Ce 0.152 0.605 0.402  0.50
Ce 0.152 0.895 0.598  0.50
Ce 0.848 0.105 0.098  0.50
Ce 0.368 0.242 0.250  0.53
Ce 0.632 0.758 0.750  0.53
Ce 0.632 0.742 0.250  0.53
Ce 0.368 0.258 0.750  0.53
Ge 0.329 0.250 0.000  -0.01
Ge 0.671 0.750 0.500  -0.01
Ge 0.671 0.750 0.000  -0.01
Ge 0.329 0.250 0.500  -0.01
Ge 0.872 0.394 0.250  -0.01
Ge 0.128 0.606 0.750  -0.01
Ge 0.128 0.894 0.250  -0.01
Ge 0.872 0.106 0.750  -0.01
Ir 0.624 0.456 0.093  -0.04
Ir 0.376 0.544 0.593  -0.04
Ir 0.376 0.956 0.407  -0.04
Ir 0.624 0.044 0.907  -0.04
Ir 0.376 0.544 0.907  -0.04
Ir 0.624 0.456 0.407  -0.04
Ir 0.624 0.044 0.593  -0.04
Ir 0.376 0.956 0.093  -0.04

## Properties
- Symmetry: No. 57

=====

Which of them is the most stable? Correct choice: (ii).

=====

(i)
CePmGeIr: relaxed, GGA-PBE.

Lattice parameters (Å, degrees): 5.069 5.069 5.069 60.00 60.00 60.00
Site moments in Bohr magnetons follow the coordinates.
Element x y z (fractional)
Ge 0.000 0.000 0.000  -0.01
Ir 0.500 0.500 0.500  -0.06
Ce 0.250 0.250 0.250  0.28
Pm 0.750 0.750 0.750  0.01

## Properties
- Symmetry: No. 216

=====

(ii)
CePmGeIr: relaxed, GGA-PBE.

Lattice parameters (Å, degrees): 4.552 4.552 10.127 90.00 90.00 90.00
Element x y z (fractional)
Ce 0.000 0.000 0.500
Ce 0.500 0.500 0.500
Pm 0.000 0.500 0.822
Pm 0.500 0.000 0.178
Ge 0.500 0.000 0.898
Ge 0.000 0.500 0.102
Ir 0.000 0.500 0.338
Ir 0.500 0.000 0.662

## Properties
- Symmetry: No. 129

=====

Which of them is the most stable? Correct choice: (i).

=====

(i)
LaCeGe4: relaxed, GGA-PBE.

Lattice parameters (Å, degrees): 5.687 5.687 5.687 60.00 60.00 60.00
Site moments in Bohr magnetons follow the coordinates.
Element x y z (fractional)
Ge 0.624 0.624 0.128  0.00
Ge 0.624 0.128 0.624  0.00
Ge 0.624 0.624 0.624  0.00
Ge 0.128 0.624 0.624  0.00
Ce 0.250 0.250 0.250  0.23
La 0.000 0.000 0.000  0.02

## Properties
- Symmetry: No. 216

=====

(ii)
LaCeGe4: relaxed, GGA-PBE.

Lattice parameters (Å, degrees): 4.123 8.925 15.775 90.00 90.00 90.00
Site moments in Bohr magnetons follow the coordinates.
Element x y z (fractional)
La 0.000 0.599 0.361  0.00
La 0.000 0.401 0.639  0.00
La 0.000 0.099 0.139  0.00
La 0.000 0.901 0.861  0.00
Ce 0.000 0.619 0.080  0.43
Ce 0.000 0.381 0.920  0.43
Ce 0.000 0.119 0.420  0.43
Ce 0.000 0.881 0.580  0.43
Ge 0.500 0.799 0.192  0.01
Ge 0.500 0.201 0.808  0.01
Ge 0.500 0.299 0.308  0.01
Ge 0.500 0.701 0.692  0.01
Ge 0.500 0.873 0.036  0.00
Ge 0.500 0.127 0.964  0.00
Ge 0.500 0.373 0.464  0.00
Ge 0.500 0.627 0.536  0.00
Ge 0.500 0.847 0.425  0.01
Ge 0.500 0.153 0.575  0.01
Ge 0.500 0.347 0.075  0.01
Ge 0.500 0.653 0.925  0.01
Ge 0.500 0.019 0.290  0.01
Ge 0.500 0.981 0.710  0.01
Ge 0.500 0.519 0.210  0.01
Ge 0.500 0.481 0.790  0.01

## Properties
- Symmetry: No. 55

=====

Which of them is the most stable? Correct choice: (ii).

=====

(i)
LaCeGePt: relaxed, GGA-PBE.

Lattice parameters (Å, degrees): 4.594 4.594 10.683 90.00 90.00 90.00
Site moments in Bohr magnetons follow the coordinates.
Element x y z (fractional)
La 0.000 0.500 0.838  0.01
La 0.500 0.000 0.162  0.01
Ce 0.000 0.000 0.500  0.35
Ce 0.500 0.500 0.500  0.35
Ge 0.500 0.000 0.888  0.00
Ge 0.000 0.500 0.112  0.00
Pt 0.000 0.500 0.337  -0.01
Pt 0.500 0.000 0.663  -0.01

## Properties
- Symmetry: No. 129

=====

(ii)
LaCeGePt: relaxed, GGA-PBE.

Lattice parameters (Å, degrees): 5.192 5.192 5.192 60.00 60.00 60.00
Site moments in Bohr magnetons follow the coordinates.
Element x y z (fractional)
Ge 0.750 0.750 0.750  -0.03
Ce 0.000 0.000 0.000  0.78
Pt 0.250 0.250 0.250  -0.04
La 0.500 0.500 0.500  0.06

## Properties
- Symmetry: No. 216

=====

Which of them is the most stable? Correct choice: (ii).

=====

(i)
CeLu2Ge: relaxed, GGA-PBE.

Lattice parameters (Å, degrees): 3.499 3.499 8.452 90.00 90.00 90.00
Site moments in Bohr magnetons follow the coordinates.
Element x y z (fractional)
Ge 0.500 0.500 0.000  0.01
Lu 0.000 0.000 0.798  0.09
Lu 0.000 0.000 0.202  0.09
Ce 0.500 0.500 0.500  0.78

## Properties
- Symmetry: No. 123

=====

(ii)
CeLu2Ge: relaxed, GGA-PBE.

Lattice parameters (Å, degrees): 4.467 4.655 4.655 90.00 90.00 90.00
Element x y z (fractional)
Ge 0.500 0.000 0.000
Lu 0.000 0.000 0.500
Lu 0.000 0.500 0.000
Ce 0.500 0.500 0.500

## Properties
- Symmetry: No. 123

=====

Which of them is the most stable? Correct choice: (ii).

=====

(i)
Ce2LuGe: relaxed, GGA-PBE.

Lattice parameters (Å, degrees): 5.062 4.323 4.323 90.00 90.00 90.00
Element x y z (fractional)
Ge 0.500 0.000 0.000
Lu 0.500 0.500 0.500
Ce 0.000 0.000 0.500
Ce 0.000 0.500 0.000

## Properties
- Symmetry: No. 123

=====

(ii)
Ce2LuGe: relaxed, GGA-PBE.

Lattice parameters (Å, degrees): 3.806 3.806 9.548 78.50 78.50 60.00
Site moments in Bohr magnetons follow the coordinates.
Element x y z (fractional)
Ge 0.000 0.000 0.000  -0.02
Lu 0.500 0.500 0.500  0.05
Ce 0.265 0.265 0.206  0.28
Ce 0.735 0.735 0.794  0.28

## Properties
- Symmetry: No. 166

=====

Which of them is the most stable? Correct choice: (i).

=====

(i)
CeMg2Ge: relaxed, GGA-PBE.

Lattice parameters (Å, degrees): 3.103 3.103 11.039 81.92 81.92 60.00
Site moments in Bohr magnetons follow the coordinates.
Element x y z (fractional)
Ge 0.500 0.500 0.500  0.00
Mg 0.098 0.098 0.706  0.00
Mg 0.902 0.902 0.294  0.00
Ce 0.000 0.000 0.000  0.39

## Properties
- Symmetry: No. 166

=====

(ii)
CeMg2Ge: relaxed, GGA-PBE.

Lattice parameters (Å, degrees): 4.890 4.357 4.357 90.00 90.00 90.00
Site moments in Bohr magnetons follow the coordinates.
Element x y z (fractional)
Ge 0.500 0.500 0.500  0.00
Mg 0.000 0.000 0.500  0.00
Mg 0.000 0.500 0.000  0.00
Ce 0.500 0.000 0.000  0.51

## Properties
- Symmetry: No. 123

=====

Which of them is the most stable? Correct choice: (ii).

=====

(i)
CeMgGePt: relaxed, GGA-PBE.

Lattice parameters (Å, degrees): 4.872 4.872 4.872 60.00 60.00 60.00
Site moments in Bohr magnetons follow the coordinates.
Element x y z (fractional)
Mg 0.500 0.500 0.500  0.00
Ge 0.750 0.750 0.750  0.00
Ce 0.000 0.000 0.000  0.12
Pt 0.250 0.250 0.250  -0.01

## Properties
- Symmetry: No. 216

=====

(ii)
CeMgGePt: relaxed, GGA-PBE.

Lattice parameters (Å, degrees): 4.139 4.139 10.155 90.00 90.00 90.00
Site moments in Bohr magnetons follow the coordinates.
Element x y z (fractional)
Ce 0.000 0.500 0.784  0.58
Ce 0.500 0.000 0.216  0.58
Mg 0.000 0.000 0.500  0.00
Mg 0.500 0.500 0.500  0.00
Ge 0.500 0.000 0.936  0.00
Ge 0.000 0.500 0.064  0.00
Pt 0.000 0.500 0.315  -0.01
Pt 0.500 0.000 0.685  -0.01

## Properties
- Symmetry: No. 129

=====

Which of them is the most stable? Correct choice: (i).

=====

(i)
CeMgSnGe: relaxed, GGA-PBE.

Lattice parameters (Å, degrees): 5.126 5.126 5.126 60.00 60.00 60.00
Site moments in Bohr magnetons follow the coordinates.
Element x y z (fractional)
Mg 0.500 0.500 0.500  0.00
Ge 0.250 0.250 0.250  0.02
Sn 0.750 0.750 0.750  0.02
Ce 0.000 0.000 0.000  0.38

## Properties
- Symmetry: No. 216

=====

(ii)
CeMgSnGe: relaxed, GGA-PBE.

Lattice parameters (Å, degrees): 4.293 4.496 4.825 90.00 90.00 90.00
Element x y z (fractional)
Ce 0.500 0.000 0.500
Mg 0.500 0.500 0.000
Sn 0.000 0.000 0.000
Ge 0.000 0.500 0.500

## Properties
- Symmetry: No. 47

=====

Which of them is the most stable? Correct choice: (ii).

=====

(i)
NaCeGe2: relaxed, GGA-PBE.

Lattice parameters (Å, degrees): 5.026 5.026 5.026 60.00 60.00 60.00
Site moments in Bohr magnetons follow the coordinates.
Element x y z (fractional)
Na 0.000 0.000 0.000  0.00
Ge 0.250 0.250 0.250  0.01
Ge 0.750 0.750 0.750  0.01
Ce 0.500 0.500 0.500  0.36

## Properties
- Symmetry: No. 225

=====

(ii)
NaCeGe2: relaxed, GGA-PBE.

Lattice parameters (Å, degrees): 3.188 3.188 8.821 90.00 90.00 90.00
Element x y z (fractional)
Na 0.500 0.500 0.000
Ge 0.000 0.000 0.746
Ge 0.000 0.000 0.254
Ce 0.500 0.500 0.500

## Properties
- Symmetry: No. 123

=====

Which of them is the most stable? Correct choice: (i).

=====

(i)
CeNd2Ge: relaxed, GGA-PBE.

Lattice parameters (Å, degrees): 3.926 3.926 7.061 90.00 90.00 90.00
Site moments in Bohr magnetons follow the coordinates.
Element x y z (fractional)
Ge 0.500 0.500 0.000  0.00
Nd 0.000 0.000 0.784  0.00
Nd 0.000 0.000 0.216  0.00
Ce 0.500 0.500 0.500  0.09

## Properties
- Symmetry: No. 123

=====

(ii)
CeNd2Ge: relaxed, GGA-PBE.

Lattice parameters (Å, degrees): 4.570 4.839 4.839 90.00 90.00 90.00
Site moments in Bohr magnetons follow the coordinates.
Element x y z (fractional)
Ge 0.500 0.000 0.000  0.00
Nd 0.000 0.000 0.500  0.00
Nd 0.000 0.500 0.000  0.00
Ce 0.500 0.500 0.500  0.06

## Properties
- Symmetry: No. 123

=====

(iii)
CeNd2Ge: relaxed, GGA-PBE.

Lattice parameters (Å, degrees): 3.579 3.579 11.271 80.86 80.86 60.00
Site moments in Bohr magnetons follow the coordinates.
Element x y z (fractional)
Ge 0.500 0.500 0.500  0.00
Nd 0.101 0.101 0.697  0.00
Nd 0.899 0.899 0.303  0.00
Ce 0.000 0.000 0.000  0.93

## Properties
- Symmetry: No. 166

=====

Which of them is the most stable? Correct choice: (ii).

=====

(i)
CeNdGePt: relaxed, GGA-PBE.

Lattice parameters (Å, degrees): 5.151 5.151 5.151 60.00 60.00 60.00
Site moments in Bohr magnetons follow the coordinates.
Element x y z (fractional)
Ge 0.750 0.750 0.750  -0.02
Nd 0.000 0.000 0.000  0.08
Ce 0.500 0.500 0.500  0.78
Pt 0.250 0.250 0.250  -0.04

## Properties
- Symmetry: No. 216

=====

(ii)
CeNdGePt: relaxed, GGA-PBE.

Lattice parameters (Å, degrees): 4.213 4.213 10.898 90.00 90.00 90.00
Element x y z (fractional)
Ce 0.000 0.000 0.500
Ce 0.500 0.500 0.500
Nd 0.000 0.500 0.794
Nd 0.500 0.000 0.206
Ge 0.500 0.000 0.939
Ge 0.000 0.500 0.061
Pt 0.000 0.500 0.294
Pt 0.500 0.000 0.706

## Properties
- Symmetry: No. 129

=====

Which of them is the most stable? Correct choice: (i).